# Sr2Ac3TbTe6

Sr2Ac3TbTe6 after structural relaxation (PBE-GGA, Alexandria via LeMat-Bulk).

Lattice parameters (Å, degrees): 8.026 8.026 8.181 99.43 99.43 120.05
Element x y z (fractional)
Sr: 0.165 0.835 0.000
Sr: 0.835 0.165 0.000
Ac: 0.000 0.000 0.500
Ac: 0.325 0.675 0.500
Ac: 0.675 0.325 0.500
Tb: 0.500 0.500 0.000
Te: 0.101 0.423 0.767
Te: 0.261 0.261 0.245
Te: 0.423 0.101 0.767
Te: 0.577 0.899 0.233
Te: 0.739 0.739 0.755
Te: 0.899 0.577 0.233

Summary:
V (Å³ per cell): 431
Uncorrected formation energy (eV per atom): -1.516

=====

# SnSeI2N

SnSeI2N after structural relaxation (PBE-GGA, Alexandria via LeMat-Bulk).

Lattice parameters (Å, degrees): 6.225 6.225 3.752 90.00 90.00 90.00
Element x y z (fractional)
Sn: 0.000 0.000 0.000
Se: 0.500 0.500 0.500
I: 0.000 0.500 0.500
I: 0.500 0.000 0.500
N: 0.500 0.500 0.000

Summary:
ΔE to the lowest computed polymorph (meV per atom): 0
V (Å³ per cell): 145
Uncorrected formation energy (eV per atom): 0.672

=====

# Tb3Th2In2

Tb3Th2In2 after structural relaxation (PBE-GGA, Alexandria via LeMat-Bulk).

Lattice parameters (Å, degrees): 12.599 12.599 3.476 90.00 90.00 158.12
Element x y z (fractional)
Tb: 0.000 0.000 0.000
Tb: 0.136 0.864 0.000
Tb: 0.864 0.136 0.000
Th: 0.287 0.713 0.500
Th: 0.713 0.287 0.500
In: 0.430 0.570 0.500
In: 0.570 0.430 0.500

Summary:
V (Å³ per cell): 206
Formation enthalpy at 0 K (eV/atom): -0.113

=====

# ReSiH

ReSiH after structural relaxation (PBE-GGA, Alexandria via LeMat-Bulk).

Lattice parameters (Å, degrees): 2.847 4.116 6.015 90.00 103.81 90.00
Element x y z (fractional)
Re: 0.075 0.250 0.149
Re: 0.925 0.750 0.851
Si: 0.379 0.250 0.761
Si: 0.621 0.750 0.239
H: 0.229 0.250 0.454
H: 0.771 0.750 0.546

Summary:
ΔE to the lowest computed polymorph (meV per atom): 17
V (Å³ per cell): 68

=====

# CsTcIrCl2

CsTcIrCl2 after structural relaxation (PBE-GGA, Alexandria via LeMat-Bulk).

Lattice parameters (Å, degrees): 4.539 4.539 7.543 90.00 90.00 90.00
Element x y z (fractional)
Cs: 0.000 0.000 0.000
Tc: 0.000 0.000 0.500
Ir: 0.500 0.500 0.000
Cl: 0.000 0.500 0.500
Cl: 0.500 0.000 0.500

Summary:
V (Å³ per cell): 155
Uncorrected formation energy (eV per atom): 1.051

=====

# Tb2Pm5Y2

Tb2Pm5Y2 after structural relaxation (PBE-GGA, Alexandria via LeMat-Bulk).

Lattice parameters (Å, degrees): 10.156 10.156 10.156 85.05 108.09 140.88
Element x y z (fractional)
Tb: 0.000 0.000 0.000
Tb: 0.000 0.500 0.500
Tb: 0.045 0.798 0.747
Tb: 0.052 0.298 0.253
Pm: 0.071 0.197 0.586
Pm: 0.071 0.985 0.374
Pm: 0.120 0.608 0.012
Pm: 0.426 0.117 0.208
Pm: 0.426 0.718 0.810
Pm: 0.595 0.108 0.988
Pm: 0.611 0.485 0.414
Pm: 0.611 0.697 0.626
Pm: 0.909 0.218 0.792
Pm: 0.909 0.617 0.190
Y: 0.501 0.134 0.621
Y: 0.501 0.380 0.866
Y: 0.514 0.634 0.134
Y: 0.514 0.880 0.379

Summary:
ΔE to the lowest computed polymorph (meV per atom): 196
V (Å³ per cell): 607
Formation enthalpy at 0 K (eV/atom): 0.210